Here is GdFeAsO after structural relaxation from Alexandria. Energies are from PBE+U.

The calculation puts the total magnetic moment at 0.8126 μB/atom. As for the uncorrected energy: -8.92 eV per atom. As for the volume: 146.4 Å³/cell.

a b c (Å): 4.0231 4.0231 9.0444
angles (deg): 90.00 90.00 90.00
Closest atoms and distances in Å follow each position.
Atoms (fractional coordinates):
Gd1 0.0000 0.5000 0.3770  4 O 2.30
Fe1 0.5000 0.5000 0.0000  4 As 2.60, 4 Fe 2.84
As1 0.5000 0.0000 0.1817  4 Fe 2.60
Gd2 0.5000 0.0000 0.6230  4 O 2.30
O1 0.5000 0.5000 0.5000  4 Gd 2.30
Fe2 0.0000 0.0000 0.0000  4 As 2.60, 4 Fe 2.84
O2 0.0000 0.0000 0.5000  4 Gd 2.30
As2 0.0000 0.5000 0.8183  4 Fe 2.60